DFT (PBE) results for a geometry-optimized KLa2NbO6 structure.

Unit cell a=5.769 b=6.977 c=8.853 alpha=104.52 beta=90.00 gamma=114.42
Element x y z (fractional)
K1 0.115 0.230 0.481
K2 0.885 0.770 0.519
La1 0.870 0.740 0.072
La2 0.590 0.179 0.207
La3 0.410 0.821 0.793
La4 0.130 0.260 0.928
Nb1 0.341 0.682 0.298
Nb2 0.659 0.318 0.702
O1 0.252 0.000 0.000
O2 0.748 0.000 0.000
O3 0.002 0.472 0.168
O4 0.469 0.472 0.168
O5 0.219 0.905 0.295
O6 0.686 0.905 0.295
O7 0.322 0.645 0.499
O8 0.678 0.355 0.501
O9 0.314 0.095 0.705
O10 0.781 0.095 0.705
O11 0.531 0.528 0.832
O12 0.998 0.528 0.832

Values from the calculation:
ρ: 5.39 g/cm³
space group: C2/m, No. 12
total moment: 0.00 μB per cell
crystal system: monoclinic
VASP energy: -80.85 eV per formula unit